# ZrHRh3

A relaxed structure of ZrHRh3 (PBE-GGA, Alexandria).

Cell lengths 5.240, 7.165, 7.498 Å; angles 90.00, 90.00, 90.00 degrees
Fractional coordinates of all 20 atoms:
Rh 0.036 0.578 0.846
Rh 0.720 0.750 0.275
Rh 0.536 0.578 0.654
Rh 0.036 0.922 0.846
Rh 0.464 0.078 0.346
Rh 0.220 0.750 0.225
Rh 0.464 0.422 0.346
Rh 0.536 0.922 0.654
Rh 0.964 0.078 0.154
Rh 0.280 0.250 0.725
Rh 0.964 0.422 0.154
Rh 0.780 0.250 0.775
Zr 0.000 0.500 0.500
Zr 0.500 0.500 0.000
Zr 0.000 0.000 0.500
Zr 0.500 0.000 0.000
H 0.070 0.250 0.920
H 0.430 0.750 0.420
H 0.930 0.750 0.080
H 0.570 0.250 0.580

Values from the calculation:
DOS at the Fermi energy: 0.8335 states/eV/atom
space-group type: Pnma
total DFT energy (no corrections): -7.022 eV/atom
ΔE to the lowest computed polymorph: 396 meV/atom

***

# ZrHRh3

A relaxed structure of ZrHRh3 (PBE-GGA, Alexandria).

Cell lengths 3.781, 3.781, 6.192 Å; angles 90.00, 90.00, 90.00 degrees
Fractional coordinates of all 5 atoms:
Rh 0.000 0.000 0.758
Rh 0.500 0.000 0.443
Rh 0.000 0.500 0.443
Zr 0.000 0.000 0.136
H 0.500 0.500 0.483

Values from the calculation:
DOS at the Fermi energy: 0.8878 states/eV/atom
space-group type: P4mm
total DFT energy (no corrections): -6.559 eV/atom
ΔE to the lowest computed polymorph: 858 meV/atom

***

# ZrH3Rh

A relaxed structure of ZrH3Rh (PBE-GGA, Alexandria).

Cell lengths 3.698, 3.698, 3.698 Å; angles 90.00, 90.00, 90.00 degrees
Fractional coordinates of all 5 atoms:
Rh 0.500 0.500 0.500
H 0.000 0.000 0.500
H 0.500 0.000 0.000
H 0.000 0.500 0.000
Zr 0.000 0.000 0.000

Values from the calculation:
DOS at the Fermi energy: 0.1820 states/eV/atom
space-group type: Pm-3m
total DFT energy (no corrections): -5.000 eV/atom

***

# ZrHRh3

A relaxed structure of ZrHRh3 (PBE-GGA, Alexandria).

Cell lengths 3.109, 3.109, 16.756 Å; angles 90.00, 90.00, 120.00 degrees
Fractional coordinates of all 10 atoms:
Rh 0.667 0.333 0.381
Rh 0.667 0.333 0.119
Rh 0.333 0.667 0.881
Rh 0.333 0.667 0.619
Rh 0.000 0.000 0.250
Rh 0.000 0.000 0.750
H 0.333 0.667 0.750
H 0.667 0.333 0.250
Zr 0.000 0.000 0.000
Zr 0.000 0.000 0.500

Values from the calculation:
DOS at the Fermi energy: 1.2633 states/eV/atom
space-group type: P6_3/mmc
total DFT energy (no corrections): -6.884 eV/atom
ΔE to the lowest computed polymorph: 533 meV/atom

***

# ZrHRh3

A relaxed structure of ZrHRh3 (PBE-GGA, Alexandria).

Cell lengths 4.008, 4.008, 4.008 Å; angles 90.00, 90.00, 90.00 degrees
Fractional coordinates of all 5 atoms:
Rh 0.000 0.000 0.500
Rh 0.500 0.000 0.000
Rh 0.000 0.500 0.000
Zr 0.500 0.500 0.500
H 0.000 0.000 0.000

Values from the calculation:
DOS at the Fermi energy: 0.5609 states/eV/atom
space-group type: Pm-3m
total DFT energy (no corrections): -7.417 eV/atom
ΔE to the lowest computed polymorph: 0 meV/atom

***

# ZrH6Rh5

A relaxed structure of ZrH6Rh5 (PBE-GGA, Alexandria).

Cell lengths 6.502, 5.378, 4.161 Å; angles 66.71, 69.96, 59.64 degrees
Fractional coordinates of all 12 atoms:
H 0.590 0.740 0.590
H 0.880 0.728 0.909
H 0.410 0.260 0.410
H 0.301 0.727 0.286
H 0.120 0.272 0.091
H 0.699 0.273 0.714
Rh 0.500 0.500 0.000
Rh 0.160 0.517 0.659
Rh 0.327 0.998 0.368
Rh 0.840 0.483 0.341
Rh 0.673 0.002 0.632
Zr 0.000 0.000 0.000

Values from the calculation:
DOS at the Fermi energy: 0.5477 states/eV/atom
space-group type: P-1
total DFT energy (no corrections): -5.660 eV/atom

***

# ZrH4Rh3

A relaxed structure of ZrH4Rh3 (PBE-GGA, Alexandria).

Cell lengths 4.171, 4.171, 5.057 Å; angles 114.36, 114.36, 90.00 degrees
Fractional coordinates of all 8 atoms:
H 0.278 0.278 0.555
H 0.000 0.500 0.000
H 0.500 0.000 0.000
H 0.722 0.722 0.445
Rh 0.250 0.750 0.500
Rh 0.500 0.500 0.000
Rh 0.750 0.250 0.500
Zr 0.000 0.000 0.000

Values from the calculation:
DOS at the Fermi energy: 0.6409 states/eV/atom
space-group type: I4/mmm
total DFT energy (no corrections): -5.846 eV/atom

***

# Zr2HRh6

A relaxed structure of Zr2HRh6 (PBE-GGA, Alexandria).

Cell lengths 5.639, 5.639, 7.963 Å; angles 90.00, 90.00, 90.00 degrees
Fractional coordinates of all 18 atoms:
Zr 0.500 0.000 0.750
Zr 0.000 0.500 0.750
Zr 0.000 0.500 0.250
Zr 0.500 0.000 0.250
Rh 0.000 0.000 0.248
Rh 0.752 0.248 0.000
Rh 0.248 0.752 0.000
Rh 0.748 0.748 0.500
Rh 0.252 0.748 0.500
Rh 0.500 0.500 0.748
Rh 0.748 0.252 0.500
Rh 0.500 0.500 0.252
Rh 0.752 0.752 0.000
Rh 0.252 0.252 0.500
Rh 0.248 0.248 0.000
Rh 0.000 0.000 0.752
H 0.500 0.500 0.000
H 0.000 0.000 0.500

Values from the calculation:
DOS at the Fermi energy: 0.6791 states/eV/atom
space-group type: I4/mmm
total DFT energy (no corrections): -7.830 eV/atom

***

# ZrHRh3

A relaxed structure of ZrHRh3 (PBE-GGA, Alexandria).

Cell lengths 4.615, 5.841, 4.934 Å; angles 90.00, 89.85, 90.00 degrees
Fractional coordinates of all 10 atoms:
Rh 0.256 0.013 0.833
Rh 0.744 0.513 0.167
Rh 0.256 0.487 0.833
Rh 0.744 0.987 0.167
Rh 0.273 0.250 0.314
Rh 0.727 0.750 0.686
H 0.102 0.750 0.744
H 0.898 0.250 0.256
Zr 0.249 0.750 0.323
Zr 0.751 0.250 0.677

Values from the calculation:
DOS at the Fermi energy: 0.7027 states/eV/atom
space-group type: P2_1/m
total DFT energy (no corrections): -7.254 eV/atom
ΔE to the lowest computed polymorph: 163 meV/atom

***

# ZrHRh3

A relaxed structure of ZrHRh3 (PBE-GGA, Alexandria).

Cell lengths 22.024, 4.043, 8.194 Å; angles 90.00, 158.51, 90.00 degrees
Fractional coordinates of all 20 atoms:
H 0.500 0.262 0.500
H 0.000 0.762 0.000
H 0.500 0.738 0.500
H 0.000 0.238 0.000
Rh 0.628 0.000 0.951
Rh 0.137 0.000 0.205
Rh 0.863 0.000 0.795
Rh 0.630 0.000 0.446
Rh 0.637 0.500 0.705
Rh 0.872 0.500 0.549
Rh 0.128 0.500 0.451
Rh 0.363 0.500 0.295
Rh 0.370 0.000 0.554
Rh 0.130 0.500 0.946
Rh 0.870 0.500 0.054
Rh 0.372 0.000 0.049
Zr 0.371 0.500 0.816
Zr 0.629 0.500 0.184
Zr 0.871 0.000 0.316
Zr 0.129 0.000 0.684

Values from the calculation:
DOS at the Fermi energy: 0.8036 states/eV/atom
space-group type: C2/m
total DFT energy (no corrections): -7.158 eV/atom
ΔE to the lowest computed polymorph: 259 meV/atom

***

# ZrHRh3

A relaxed structure of ZrHRh3 (PBE-GGA, Alexandria).

Cell lengths 10.474, 7.378, 7.378 Å; angles 78.04, 123.57, 56.43 degrees
Fractional coordinates of all 20 atoms:
Zr 0.428 0.845 0.994
Zr 0.928 0.506 0.655
Zr 0.072 0.494 0.345
Zr 0.572 0.155 0.006
Rh 0.583 0.858 0.774
Rh 0.410 0.657 0.719
Rh 0.910 0.781 0.843
Rh 0.580 0.612 0.514
Rh 0.420 0.388 0.486
Rh 0.917 0.274 0.358
Rh 0.090 0.219 0.157
Rh 0.417 0.142 0.226
Rh 0.083 0.726 0.642
Rh 0.590 0.343 0.281
Rh 0.920 0.014 0.112
Rh 0.080 0.986 0.888
H 0.750 0.201 0.701
H 0.250 0.552 0.052
H 0.250 0.799 0.299
H 0.750 0.448 0.948

Values from the calculation:
DOS at the Fermi energy: 0.9110 states/eV/atom
space-group type: C2/c
total DFT energy (no corrections): -7.103 eV/atom
ΔE to the lowest computed polymorph: 314 meV/atom

***

# Zr4HRh2

A relaxed structure of Zr4HRh2 (PBE-GGA, Alexandria).

Cell lengths 4.193, 4.193, 7.687 Å; angles 105.83, 105.83, 90.00 degrees
Fractional coordinates of all 7 atoms:
Rh 0.642 0.642 0.284
Rh 0.358 0.358 0.716
Zr 0.184 0.184 0.367
Zr 0.000 0.500 0.000
Zr 0.500 0.000 0.000
Zr 0.816 0.816 0.633
H 0.000 0.000 0.000

Values from the calculation:
DOS at the Fermi energy: 1.0390 states/eV/atom
space-group type: I4/mmm
total DFT energy (no corrections): -7.893 eV/atom

***

# ZrHRh3

A relaxed structure of ZrHRh3 (PBE-GGA, Alexandria).

Cell lengths 18.421, 8.749, 8.749 Å; angles 153.97, 162.19, 17.81 degrees
Fractional coordinates of all 10 atoms:
Rh 0.813 0.123 0.877
Rh 0.565 0.620 0.380
Rh 0.940 0.369 0.631
Rh 0.435 0.380 0.620
Rh 0.060 0.631 0.369
Rh 0.187 0.877 0.123
H 0.067 0.118 0.882
H 0.933 0.882 0.118
Zr 0.325 0.101 0.899
Zr 0.675 0.899 0.101

Values from the calculation:
DOS at the Fermi energy: 0.5432 states/eV/atom
space-group type: C2/m
total DFT energy (no corrections): -7.264 eV/atom
ΔE to the lowest computed polymorph: 154 meV/atom

***

# ZrH6Rh3

A relaxed structure of ZrH6Rh3 (PBE-GGA, Alexandria).

Cell lengths 4.737, 4.737, 5.152 Å; angles 90.00, 117.37, 120.00 degrees
Fractional coordinates of all 10 atoms:
Zr 0.792 0.896 0.689
H 0.811 0.107 0.265
H 0.158 0.703 0.265
H 0.334 0.434 0.736
H 0.303 0.900 0.736
H 0.562 0.455 0.265
H 0.836 0.402 0.736
Rh 0.356 0.678 0.034
Rh 0.645 0.323 0.968
Rh 0.203 0.102 0.305

Values from the calculation:
DOS at the Fermi energy: 0.4173 states/eV/atom
space-group type: R3
total DFT energy (no corrections): -5.305 eV/atom

***

# ZrHRh3

A relaxed structure of ZrHRh3 (PBE-GGA, Alexandria).

Cell lengths 7.199, 7.199, 4.940 Å; angles 90.00, 90.00, 136.65 degrees
Fractional coordinates of all 10 atoms:
H 0.441 0.559 0.250
H 0.559 0.441 0.750
Rh 0.604 0.890 0.250
Rh 0.000 0.000 0.500
Rh 0.890 0.604 0.750
Rh 0.396 0.110 0.750
Rh 0.000 0.000 0.000
Rh 0.110 0.396 0.250
Zr 0.815 0.185 0.750
Zr 0.185 0.815 0.250

Values from the calculation:
DOS at the Fermi energy: 0.9584 states/eV/atom
space-group type: Cmcm
total DFT energy (no corrections): -6.682 eV/atom
ΔE to the lowest computed polymorph: 736 meV/atom

***

# ZrHRh3

A relaxed structure of ZrHRh3 (PBE-GGA, Alexandria).

Cell lengths 5.670, 5.670, 5.670 Å; angles 60.77, 60.77, 60.77 degrees
Fractional coordinates of all 10 atoms:
Rh 0.742 0.266 0.742
Rh 0.258 0.734 0.258
Rh 0.266 0.742 0.742
Rh 0.742 0.742 0.266
Rh 0.734 0.258 0.258
Rh 0.258 0.258 0.734
Zr 0.752 0.752 0.752
Zr 0.248 0.248 0.248
H 0.072 0.072 0.072
H 0.928 0.928 0.928

Values from the calculation:
DOS at the Fermi energy: 0.5606 states/eV/atom
space-group type: R-3m
total DFT energy (no corrections): -7.371 eV/atom
ΔE to the lowest computed polymorph: 47 meV/atom

***

# ZrHRh3

A relaxed structure of ZrHRh3 (PBE-GGA, Alexandria).

Cell lengths 5.267, 5.267, 5.267 Å; angles 59.88, 59.88, 59.88 degrees
Fractional coordinates of all 5 atoms:
Rh 0.823 0.330 0.823
Rh 0.823 0.823 0.330
Rh 0.330 0.823 0.823
H 0.073 0.073 0.073
Zr 0.828 0.828 0.828

Values from the calculation:
DOS at the Fermi energy: 0.7749 states/eV/atom
space-group type: R3m
total DFT energy (no corrections): -6.243 eV/atom
ΔE to the lowest computed polymorph: 1174 meV/atom

***

# H2Ru3

A relaxed structure of H2Ru3 (PBE-GGA, Alexandria).

Cell lengths 4.876, 4.876, 5.288 Å; angles 62.54, 62.54, 60.00 degrees
Fractional coordinates of all 10 atoms:
Ru 0.585 0.915 0.250
Ru 0.250 0.585 0.250
Ru 0.415 0.085 0.750
Ru 0.085 0.750 0.750
Ru 0.915 0.250 0.250
Ru 0.750 0.415 0.750
H 0.339 0.339 0.984
H 0.839 0.839 0.484
H 0.161 0.161 0.516
H 0.661 0.661 0.016

Values from the calculation:
DOS at the Fermi energy: 0.7569 states/eV/atom
space-group type: R-3c
total DFT energy (no corrections): -6.798 eV/atom

***

# H5Ru

A relaxed structure of H5Ru (PBE-GGA, Alexandria).

Cell lengths 2.816, 2.822, 4.726 Å; angles 107.37, 90.00, 90.00 degrees
Fractional coordinates of all 6 atoms:
H 0.000 0.373 0.745
H 0.000 0.627 0.255
H 0.500 0.873 0.747
H 0.500 0.500 0.000
H 0.500 0.127 0.253
Ru 0.000 0.000 0.000

Values from the calculation:
DOS at the Fermi energy: 0.0254 states/eV/atom
space-group type: Cmmm
total DFT energy (no corrections): -4.094 eV/atom

***

# HRu4

A relaxed structure of HRu4 (PBE-GGA, Alexandria).

Cell lengths 3.870, 3.870, 3.870 Å; angles 90.00, 90.00, 90.00 degrees
Fractional coordinates of all 5 atoms:
H 0.500 0.500 0.500
Ru 0.500 0.000 0.500
Ru 0.000 0.500 0.500
Ru 0.500 0.500 0.000
Ru 0.000 0.000 0.000

Values from the calculation:
DOS at the Fermi energy: 0.7624 states/eV/atom
space-group type: Pm-3m
total DFT energy (no corrections): -7.967 eV/atom

***

# H2RuS

A relaxed structure of H2RuS (PBE-GGA, Alexandria).

Cell lengths 3.671, 3.671, 3.671 Å; angles 60.00, 60.00, 60.00 degrees
Fractional coordinates of all 4 atoms:
H 0.250 0.250 0.250
H 0.750 0.750 0.750
S 0.000 0.000 0.000
Ru 0.500 0.500 0.500

Values from the calculation:
DOS at the Fermi energy: 0.8560 states/eV/atom
space-group type: Fm-3m
total DFT energy (no corrections): -4.102 eV/atom
ΔE to the lowest computed polymorph: 954 meV/atom

***

# HRu3S

A relaxed structure of HRu3S (PBE-GGA, Alexandria).

Cell lengths 3.873, 3.873, 3.873 Å; angles 90.00, 90.00, 90.00 degrees
Fractional coordinates of all 5 atoms:
Ru 0.500 0.000 0.000
Ru 0.000 0.500 0.000
Ru 0.000 0.000 0.500
H 0.000 0.000 0.000
S 0.500 0.500 0.500

Values from the calculation:
DOS at the Fermi energy: 0.8281 states/eV/atom
space-group type: Pm-3m
total DFT energy (no corrections): -6.562 eV/atom
ΔE to the lowest computed polymorph: 0 meV/atom

***

# H2RuS

A relaxed structure of H2RuS (PBE-GGA, Alexandria).

Cell lengths 3.417, 3.417, 7.025 Å; angles 75.92, 75.92, 90.00 degrees
Fractional coordinates of all 8 atoms:
H 0.375 0.125 0.750
H 0.875 0.125 0.250
H 0.875 0.625 0.250
H 0.875 0.125 0.750
S 0.500 0.500 0.000
S 0.250 0.750 0.500
Ru 0.000 0.000 0.000
Ru 0.750 0.250 0.500

Values from the calculation:
DOS at the Fermi energy: 0.3562 states/eV/atom
space-group type: I4_1/amd
total DFT energy (no corrections): -4.641 eV/atom
ΔE to the lowest computed polymorph: 415 meV/atom